(1)
VASP calculation (GGA-PBE) on a relaxed TaOs2Rh crystal.

Cell lengths 3.0230, 4.3500, 9.6382 Å; angles 90.00, 90.00, 90.00 degrees
Space group Immm (No. 71)
Symmetry-distinct sites (fractional):
Ta: 0.0000 0.0000 0.0000
Os: 0.0000 0.5000 0.2794
Rh: 0.0000 0.0000 0.5000

## Properties
VASP energy (eV/cell): -82.5
Total magnetization (μB/cell): 0.0
ΔE_f (eV per atom): 0.102

---

(2)
VASP calculation (GGA-PBE) on a relaxed Ta2OsRh crystal.

Cell lengths 4.1927, 4.1927, 3.6794 Å; angles 90.00, 90.00, 90.00 degrees
Space group P4/mmm (No. 123)
Symmetry-distinct sites (fractional):
Ta: 0.0000 0.5000 0.0000
Os: 0.0000 0.0000 0.5000
Rh: 0.5000 0.5000 0.5000

## Properties
VASP energy (eV/cell): -43.6
Total magnetization (μB/cell): 0.0
ΔE_f (eV per atom): -0.340

---

(3)
VASP calculation (GGA-PBE) on a relaxed TaOsRh2 crystal.

Cell lengths 5.4974, 7.8242, 2.7856 Å; angles 90.00, 90.00, 90.00 degrees
Space group Cmmm (No. 65)
Symmetry-distinct sites (fractional):
Ta: 0.0000 0.0000 0.0000
Os: 0.0000 0.5000 0.0000
Rh: 0.2500 0.2500 0.5000

## Properties
VASP energy (eV/cell): -77.8
Total magnetization (μB/cell): 0.0
ΔE_f (eV per atom): -0.280

---

(4)
VASP calculation (GGA-PBE) on a relaxed TaOsRh crystal.

Cell lengths 6.0244, 6.0244, 6.0244 Å; angles 90.00, 90.00, 90.00 degrees
Space group F-43m (No. 216)
Symmetry-distinct sites (fractional):
Ta: 0.0000 0.0000 0.0000
Os: 0.2500 0.2500 0.2500
Rh: 0.2500 0.2500 0.7500

## Properties
VASP energy (eV/cell): -119.1
Total magnetization (μB/cell): 0.0
ΔE_f (eV per atom): 0.224

---

(5)
VASP calculation (GGA-PBE) on a relaxed TaOsRh crystal.

Cell lengths 6.0619, 6.0619, 6.0619 Å; angles 90.00, 90.00, 90.00 degrees
Space group F-43m (No. 216)
Symmetry-distinct sites (fractional):
Ta: 0.0000 0.0000 0.0000
Os: 0.2500 0.2500 0.2500
Rh: 0.0000 0.0000 0.5000

## Properties
VASP energy (eV/cell): -117.0
Total magnetization (μB/cell): 0.0
ΔE_f (eV per atom): 0.391

---

(6)
VASP calculation (GGA-PBE) on a relaxed TaOs2Rh crystal.

Cell lengths 4.7572, 2.8067, 4.7648 Å; angles 90.00, 108.43, 90.00 degrees
Space group P2/m (No. 10)
Symmetry-distinct sites (fractional):
Ta: 0.0000 0.0000 0.0000
Os: 0.5000 0.0000 0.5000
Os: 0.5000 0.5000 0.0000
Rh: 0.0000 0.5000 0.5000

## Properties
VASP energy (eV/cell): -42.4
Total magnetization (μB/cell): 0.0
ΔE_f (eV per atom): -0.174

---

(7)
VASP calculation (GGA-PBE) on a relaxed Ta2OsRh crystal.

Cell lengths 2.8605, 2.8605, 27.3601 Å; angles 90.00, 90.00, 120.00 degrees
Space group R-3m (No. 166, hexagonal axes)
Symmetry-distinct sites (fractional):
Ta: 0.0000 0.0000 0.2503
Os: 0.0000 0.0000 0.5000
Rh: 0.0000 0.0000 0.0000

## Properties
VASP energy (eV/cell): -127.7
Total magnetization (μB/cell): 0.0
ΔE_f (eV per atom): -0.068

---

(8)
VASP calculation (GGA-PBE) on a relaxed Ta12Os5Rh3 crystal.

Cell lengths 15.0220, 15.0220, 15.0220 Å; angles 90.00, 90.00, 90.00 degrees
Space group Ia-3d (No. 230)
Symmetry-distinct sites (fractional):
Ta: 0.0187 0.0777 0.6504
Os: 0.0000 0.0000 0.0000
Os: 0.0000 0.2500 0.3750
Rh: 0.0000 0.2500 0.1250

## Properties
VASP energy (eV/cell): -1651.0
Total magnetization (μB/cell): 0.0
ΔE_f (eV per atom): 0.703

---

(9)
VASP calculation (GGA-PBE) on a relaxed Ta2OsRh crystal.

Cell lengths 2.9740, 3.6650, 5.9369 Å; angles 90.00, 90.55, 90.00 degrees
Space group P2/m (No. 10)
Symmetry-distinct sites (fractional):
Ta: 0.0045 0.0000 0.2535
Os: 0.5000 0.5000 0.5000
Rh: 0.5000 0.5000 0.0000

## Properties
VASP energy (eV/cell): -43.6
Total magnetization (μB/cell): 0.0
ΔE_f (eV per atom): -0.336

---

(10)
VASP calculation (GGA-PBE) on a relaxed Ta2OsRh crystal.

Cell lengths 6.3661, 6.3661, 6.3661 Å; angles 90.00, 90.00, 90.00 degrees
Space group F-43m (No. 216)
Symmetry-distinct sites (fractional):
Ta: 0.0000 0.0000 0.0000
Ta: 0.2500 0.2500 0.2500
Os: 0.0000 0.0000 0.5000
Rh: 0.2500 0.2500 0.7500

## Properties
VASP energy (eV/cell): -170.0
Total magnetization (μB/cell): 3.0
ΔE_f (eV per atom): -0.052

---

(11)
VASP calculation (GGA-PBE) on a relaxed TaOs2Rh crystal.

Cell lengths 3.9213, 3.9213, 7.8770 Å; angles 90.00, 90.00, 90.00 degrees
Space group I4/mmm (No. 139)
Symmetry-distinct sites (fractional):
Ta: 0.0000 0.0000 0.0000
Os: 0.0000 0.5000 0.2500
Rh: 0.0000 0.0000 0.5000

## Properties
VASP energy (eV/cell): -84.6
Total magnetization (μB/cell): 0.0
ΔE_f (eV per atom): -0.163

---

(12)
VASP calculation (GGA-PBE) on a relaxed TaOs2Rh crystal.

Cell lengths 2.7799, 2.7799, 7.8635 Å; angles 90.00, 90.00, 90.00 degrees
Space group P4mm (No. 99)
Symmetry-distinct sites (fractional):
Ta: 0.0000 0.0000 0.0000
Os: 0.0000 0.0000 0.4963
Os: 0.5000 0.5000 0.2705
Rh: 0.5000 0.5000 0.7445

## Properties
VASP energy (eV/cell): -42.1
Total magnetization (μB/cell): 0.0
ΔE_f (eV per atom): -0.114

---

(13)
VASP calculation (GGA-PBE) on a relaxed TaOs2Rh crystal.

Cell lengths 3.3180, 3.3180, 5.6363 Å; angles 90.00, 90.00, 90.00 degrees
Space group P4mm (No. 99)
Symmetry-distinct sites (fractional):
Ta: 0.0000 0.0000 0.0000
Os: 0.0000 0.0000 0.4912
Os: 0.5000 0.5000 0.2749
Rh: 0.5000 0.5000 0.7593

## Properties
VASP energy (eV/cell): -41.3
Total magnetization (μB/cell): 0.0
ΔE_f (eV per atom): 0.093

---

(14)
VASP calculation (GGA-PBE) on a relaxed Ta2OsRh crystal.

Cell lengths 3.9074, 3.9074, 8.4654 Å; angles 90.00, 90.00, 90.00 degrees
Space group I-4m2 (No. 119)
Symmetry-distinct sites (fractional):
Ta: 0.0000 0.0000 0.0000
Ta: 0.0000 0.5000 0.2500
Os: 0.0000 0.5000 0.7500
Rh: 0.0000 0.0000 0.5000

## Properties
VASP energy (eV/cell): -86.8
Total magnetization (μB/cell): 0.0
ΔE_f (eV per atom): -0.277

---

(15)
VASP calculation (GGA-PBE) on a relaxed TaOsRh3 crystal.

Cell lengths 4.6418, 4.6418, 4.6418 Å; angles 90.00, 90.00, 90.00 degrees
Space group Pm-3m (No. 221)
Symmetry-distinct sites (fractional):
Ta: 0.0000 0.0000 0.0000
Os: 0.5000 0.5000 0.5000
Rh: 0.0000 0.5000 0.5000

## Properties
VASP energy (eV/cell): -37.3
Total magnetization (μB/cell): 0.0
ΔE_f (eV per atom): 1.560

---

(16)
VASP calculation (GGA-PBE) on a relaxed TaOsRh crystal.

Cell lengths 5.5057, 5.7147, 6.3011 Å; angles 76.94, 75.33, 89.76 degrees
Space group P-1 (No. 2)
Symmetry-distinct sites (fractional):
Ta: 0.0916 0.3255 0.1946
Ta: 0.0929 0.8262 0.1927
Os: 0.3950 0.1651 0.8476
Os: 0.3948 0.6605 0.8478
Rh: 0.2630 0.9997 0.5010
Rh: 0.2629 0.4994 0.5011

## Properties
VASP energy (eV/cell): -124.6
Total magnetization (μB/cell): 0.0
ΔE_f (eV per atom): -0.236

---

(17)
VASP calculation (GGA-PBE) on a relaxed TaOsRh crystal.

Cell lengths 4.4213, 4.4213, 5.4705 Å; angles 90.00, 90.00, 120.00 degrees
Space group P6_3/mmc (No. 194)
Symmetry-distinct sites (fractional):
Ta: 0.3333 0.6667 0.2500
Os: 0.0000 0.0000 0.0000
Rh: 0.3333 0.6667 0.7500

## Properties
VASP energy (eV/cell): -63.0
Total magnetization (μB/cell): 0.0
ΔE_f (eV per atom): -0.354

---

(18)
VASP calculation (GGA-PBE) on a relaxed TaOs2Rh crystal.

Cell lengths 6.2749, 6.2749, 6.2749 Å; angles 90.00, 90.00, 90.00 degrees
Space group F-43m (No. 216)
Symmetry-distinct sites (fractional):
Ta: 0.0000 0.0000 0.0000
Os: 0.0000 0.0000 0.5000
Os: 0.2500 0.2500 0.2500
Rh: 0.2500 0.2500 0.7500

## Properties
VASP energy (eV/cell): -163.2
Total magnetization (μB/cell): 0.0
ΔE_f (eV per atom): 0.215

---

(19)
VASP calculation (GGA-PBE) on a relaxed Ta2OsRh crystal.

Cell lengths 2.9669, 2.9669, 26.3800 Å; angles 90.00, 90.00, 120.00 degrees
Space group R3m (No. 160, hexagonal axes)
Symmetry-distinct sites (fractional):
Ta: 0.0000 0.0000 0.0000
Ta: 0.0000 0.0000 0.2442
Os: 0.0000 0.0000 0.7442
Rh: 0.0000 0.0000 0.5003

## Properties
VASP energy (eV/cell): -126.1
Total magnetization (μB/cell): 0.0
ΔE_f (eV per atom): 0.059

---

(20)
VASP calculation (GGA-PBE) on a relaxed TaOsRh2 crystal.

Cell lengths 2.7785, 3.9074, 5.5355 Å; angles 90.00, 90.00, 90.00 degrees
Space group Pmmm (No. 47)
Symmetry-distinct sites (fractional):
Ta: 0.0000 0.0000 0.0000
Os: 0.0000 0.0000 0.5000
Rh: 0.5000 0.5000 0.2597

## Properties
VASP energy (eV/cell): -38.8
Total magnetization (μB/cell): 0.0
ΔE_f (eV per atom): -0.260

---

(21)
VASP calculation (GGA-PBE) on a relaxed Ta4OsRh5 crystal.

Cell lengths 4.7635, 5.5975, 6.4313 Å; angles 75.77, 73.78, 76.72 degrees
Space group P-1 (No. 2)
Symmetry-distinct sites (fractional):
Ta: 0.1307 0.3754 0.3094
Ta: 0.3077 0.1892 0.8710
Os: 0.5000 0.5000 0.5000
Rh: 0.1076 0.9042 0.2901
Rh: 0.2788 0.6863 0.9090
Rh: 0.5000 0.0000 0.5000

## Properties
VASP energy (eV/cell): -100.2
Total magnetization (μB/cell): 0.0
ΔE_f (eV per atom): -0.478

---

(22)
VASP calculation (GGA-PBE) on a relaxed TaOsRh2 crystal.

Cell lengths 2.7819, 2.7819, 27.2469 Å; angles 90.00, 90.00, 120.00 degrees
Space group R3m (No. 160, hexagonal axes)
Symmetry-distinct sites (fractional):
Ta: 0.0000 0.0000 0.0000
Os: 0.0000 0.0000 0.7554
Rh: 0.0000 0.0000 0.2510
Rh: 0.0000 0.0000 0.5003

## Properties
VASP energy (eV/cell): -113.6
Total magnetization (μB/cell): 0.0
ΔE_f (eV per atom): -0.019

---

(23)
VASP calculation (GGA-PBE) on a relaxed Ta2OsRh crystal.

Cell lengths 4.2003, 4.2003, 7.3285 Å; angles 90.00, 90.00, 90.00 degrees
Space group I4/mmm (No. 139)
Symmetry-distinct sites (fractional):
Ta: 0.0000 0.5000 0.2500
Os: 0.0000 0.0000 0.0000
Rh: 0.0000 0.0000 0.5000

## Properties
VASP energy (eV/cell): -87.5
Total magnetization (μB/cell): 0.0
ΔE_f (eV per atom): -0.362

---

(24)
VASP calculation (GGA-PBE) on a relaxed TaOsRh3 crystal.

Cell lengths 4.6479, 4.6479, 4.6479 Å; angles 90.00, 90.00, 90.00 degrees
Space group Pm-3m (No. 221)
Symmetry-distinct sites (fractional):
Ta: 0.0000 0.0000 0.0000
Os: 0.5000 0.5000 0.5000
Rh: 0.0000 0.0000 0.5000

## Properties
VASP energy (eV/cell): -37.1
Total magnetization (μB/cell): 3.0
ΔE_f (eV per atom): 1.601